1.
Below is a geometry-optimized Re6Pb7 structure, with properties calculated at the PBE level.

abc: 8.2795 8.2795 8.2795
angles: 56.81 56.81 56.81
Fractional positions:
Pb (0.9633, 0.4048, 0.4048)
Pb (0.4048, 0.4048, 0.9633)
Pb (0.4048, 0.9633, 0.4048)
Pb (0.0367, 0.5952, 0.5952)
Pb (0.5952, 0.0367, 0.5952)
Pb (0.5952, 0.5952, 0.0367)
Pb (0.5000, 0.5000, 0.5000)
Re (0.9384, 0.9384, 0.9384)
Re (0.0616, 0.0616, 0.0616)
Re (0.8305, 0.8305, 0.8305)
Re (0.1695, 0.1695, 0.1695)
Re (0.6386, 0.6386, 0.6386)
Re (0.3614, 0.3614, 0.3614)

## Properties
Total magnetization = 2.66 μB per formula unit
Calculated formation energy = 1.732 eV per atom
Total DFT energy (no corrections) = -78.14 eV per formula unit
V = 371.8 Å³/cell



2.
Below is a geometry-optimized Mg2CuCl structure, with properties calculated at the PBE level.

abc: 6.2152 6.2152 6.2152
angles: 144.68 144.68 50.81
Fractional positions:
Cl (0.5000, 0.5000, 0.0000)
Cu (0.7500, 0.2500, 0.5000)
Mg (0.0000, 0.0000, 0.0000)
Mg (0.2500, 0.7500, 0.5000)

## Properties
Total magnetization = 0.00 μB per formula unit
Energy relative to the elements, uncorrected = -0.2202 eV per atom
Total DFT energy (no corrections) = -10.01 eV per formula unit
V = 79.8 Å³/cell



3.
Below is a geometry-optimized RbCuHg2Sb structure, with properties calculated at the PBE level.

abc: 5.3536 5.3536 5.2431
angles: 90.00 90.00 90.00
Fractional positions:
Sb (0.0000, 0.0000, 0.5000)
Cu (0.0000, 0.0000, 0.0000)
Hg (0.0000, 0.5000, 0.0000)
Hg (0.5000, 0.0000, 0.0000)
Rb (0.5000, 0.5000, 0.5000)

## Properties
Total magnetization = 0.01 μB per formula unit
Energy relative to the elements, uncorrected = -0.0247 eV per atom
Total DFT energy (no corrections) = -9.91 eV per formula unit
V = 150.3 Å³/cell



4.
Below is a geometry-optimized Er6CoAu structure, with properties calculated at the PBE level.

abc: 6.5540 6.5561 7.3516
angles: 63.54 63.56 60.02
Fractional positions:
Er (0.0585, 0.4120, 0.7623)
Er (0.7669, 0.0584, 0.7625)
Er (0.5882, 0.2329, 0.2376)
Er (0.2331, 0.9416, 0.2375)
Er (0.9415, 0.5880, 0.2377)
Er (0.4118, 0.7671, 0.7624)
Co (0.0000, 0.0000, 0.0000)
Au (0.5000, 0.5000, 0.5000)

## Properties
Total magnetization = 0.00 μB per formula unit
Calculated formation energy = -0.173 eV per atom
Total DFT energy (no corrections) = -39.14 eV per formula unit
V = 234.6 Å³/cell